# 1
Material: KSc2Hg
Method: DFT, PBE
State: relaxed

Cell: 6.346 6.346 3.180 Å, 90.00 90.00 119.86°
Site moments in Bohr magnetons follow the coordinates.
Positions (direct):
Hg (0.500, 0.000, 0.500)  0.00
Sc (0.000, 0.000, 0.000)  0.30
Sc (0.500, 0.500, 0.000)  0.30
K (0.000, 0.500, 0.500)  0.01

## Properties
V, Å³/f.u.: 111
E_form, eV/atom: 0.445
Size of the total moment, μB per formula unit: 0.9
Theoretical density, g cm⁻³: 4.928
Electronic total energy, eV for the cell shown: -12.28

---

# 2
Material: TbDy2Er6
Method: DFT, PBE
State: relaxed

Cell: 3.515 8.594 12.652 Å, 132.78 82.02 90.06°
Positions (direct):
Tb (0.000, 0.000, 0.000)
Er (0.111, 0.443, 0.777)
Er (0.223, 0.888, 0.555)
Er (0.889, 0.557, 0.223)
Er (0.333, 0.335, 0.334)
Er (0.777, 0.112, 0.445)
Er (0.667, 0.665, 0.666)
Dy (0.556, 0.222, 0.888)
Dy (0.444, 0.778, 0.112)

## Properties
V, Å³/f.u.: 276
E_form, eV/atom: 0.020
Size of the total moment, μB per formula unit: 0.0
Theoretical density, g cm⁻³: 8.965
Relative energy among the computed polymorphs, meV per atom: 0
Electronic total energy, eV for the cell shown: -41.03

---

# 3
Material: HfTlGe3
Method: DFT, PBE
State: relaxed

Cell: 5.212 5.212 5.212 Å, 90.00 90.00 90.00°
Positions (direct):
Tl (0.500, 0.500, 0.500)
Ge (0.500, 0.000, 0.000)
Ge (0.000, 0.000, 0.500)
Ge (0.000, 0.500, 0.000)
Hf (0.000, 0.000, 0.000)

## Properties
V, Å³/f.u.: 142
E_form, eV/atom: 0.266
Size of the total moment, μB per formula unit: 0.0
Theoretical density, g cm⁻³: 7.046
Relative energy among the computed polymorphs, meV per atom: 0
Electronic total energy, eV for the cell shown: -24.84

---

# 4
Material: La3PtPb
Method: DFT, PBE
State: relaxed

Cell: 5.615 7.054 9.998 Å, 114.20 90.00 113.46°
Positions (direct):
La (0.864, 0.729, 0.339)
La (0.870, 0.741, 0.727)
La (0.130, 0.259, 0.273)
La (0.375, 0.750, 0.070)
La (0.136, 0.271, 0.661)
La (0.625, 0.250, 0.930)
Pt (0.882, 0.765, 0.039)
Pt (0.118, 0.235, 0.961)
Pb (0.404, 0.809, 0.567)
Pb (0.596, 0.191, 0.433)

## Properties
V, Å³/f.u.: 163
E_form, eV/atom: -0.709
Size of the total moment, μB per formula unit: 0.0
Theoretical density, g cm⁻³: 8.369
Relative energy among the computed polymorphs, meV per atom: 86
Electronic total energy, eV for the cell shown: -56.15

---

For the records above, the corresponding DOS(E_F) values read 5.5, 12.2, 1.6, 8.8 states/eV per cell.